[1]
Density functional theory data (PBEsol) for a relaxed structure of CaFeP2O7.

Cell: 6.450 6.437 6.585 Å, 80.66 80.62 67.87°
Fractional coordinates of all 22 atoms:
P: 0.163 0.637 0.104
P: 0.837 0.363 0.896
P: 0.258 0.211 0.617
P: 0.742 0.789 0.383
Ca: 0.224 0.723 0.581
Ca: 0.776 0.277 0.419
Fe: 0.315 0.080 0.110
Fe: 0.685 0.920 0.890
O: 0.043 0.769 0.915
O: 0.957 0.231 0.085
O: 0.255 0.777 0.206
O: 0.745 0.223 0.794
O: 0.318 0.399 0.070
O: 0.682 0.601 0.930
O: 0.602 0.652 0.489
O: 0.398 0.348 0.511
O: 0.178 0.103 0.468
O: 0.822 0.897 0.532
O: 0.037 0.400 0.717
O: 0.963 0.600 0.283
O: 0.635 0.966 0.206
O: 0.365 0.034 0.794

- Uncorrected formation energy: -219.8 kJ per mole of atoms
- Raw total energy: -7.680 eV per atom
- Calculated density: 3.6 Mg/m³
- Space group: P-1
- Size of the total moment: 8.000 Bohr magnetons per cell

---

[2]
Density functional theory data (PBEsol) for a relaxed structure of Ca2FeReO6.

Cell: 5.268 5.418 7.517 Å, 90.00 89.61 90.00°
Fractional coordinates of all 20 atoms:
Re: 0.500 0.000 0.000
Re: 0.000 0.500 0.500
Ca: 0.013 0.949 0.752
Ca: 0.487 0.449 0.748
Ca: 0.987 0.051 0.248
Ca: 0.513 0.551 0.252
Fe: 0.000 0.500 0.000
Fe: 0.500 0.000 0.500
O: 0.082 0.481 0.249
O: 0.418 0.981 0.251
O: 0.918 0.519 0.751
O: 0.582 0.019 0.749
O: 0.796 0.792 0.042
O: 0.704 0.292 0.458
O: 0.204 0.208 0.958
O: 0.296 0.708 0.542
O: 0.296 0.706 0.958
O: 0.204 0.206 0.542
O: 0.796 0.794 0.458
O: 0.704 0.294 0.042

- Uncorrected formation energy: -203.4 kJ per mole of atoms
- Raw total energy: -7.914 eV per atom
- Calculated density: 6.5 Mg/m³
- Space group: P2_1/c
- Size of the total moment: 0.658 Bohr magnetons per cell

---

[3]
Density functional theory data (PBEsol) for a relaxed structure of Ca3FeRhO6.

Cell: 6.351 6.351 6.351 Å, 91.64 91.64 91.64°
Fractional coordinates of all 22 atoms:
Ca: 0.619 0.881 0.250
Ca: 0.250 0.619 0.881
Ca: 0.881 0.250 0.619
Ca: 0.381 0.119 0.750
Ca: 0.119 0.750 0.381
Ca: 0.750 0.381 0.119
Fe: 0.250 0.250 0.250
Fe: 0.750 0.750 0.750
Rh: 0.000 0.000 0.000
Rh: 0.500 0.500 0.500
O: 0.799 0.598 0.461
O: 0.598 0.461 0.799
O: 0.461 0.799 0.598
O: 0.039 0.902 0.701
O: 0.902 0.701 0.039
O: 0.701 0.039 0.902
O: 0.201 0.402 0.539
O: 0.402 0.539 0.201
O: 0.539 0.201 0.402
O: 0.961 0.098 0.299
O: 0.299 0.961 0.098
O: 0.098 0.299 0.961

- Uncorrected formation energy: -206.1 kJ per mole of atoms
- Raw total energy: -7.136 eV per atom
- Calculated density: 4.9 Mg/m³
- Space group: R-3c
- Size of the total moment: 10.018 Bohr magnetons per cell

---

[4]
Density functional theory data (PBEsol) for a relaxed structure of Ca2FeSbO6.

Cell: 5.420 5.562 7.731 Å, 90.00 89.75 90.00°
Fractional coordinates of all 20 atoms:
Ca: 0.013 0.052 0.251
Ca: 0.487 0.552 0.249
Ca: 0.513 0.448 0.751
Ca: 0.987 0.948 0.749
Fe: 0.000 0.500 0.500
Fe: 0.500 0.000 0.000
Sb: 0.000 0.500 0.000
Sb: 0.500 0.000 0.500
O: 0.406 0.030 0.749
O: 0.094 0.530 0.751
O: 0.594 0.970 0.251
O: 0.906 0.470 0.249
O: 0.800 0.206 0.951
O: 0.700 0.706 0.549
O: 0.200 0.794 0.049
O: 0.300 0.294 0.451
O: 0.297 0.297 0.049
O: 0.203 0.797 0.451
O: 0.703 0.703 0.951
O: 0.797 0.203 0.549

- Uncorrected formation energy: -205.5 kJ per mole of atoms
- Raw total energy: -7.058 eV per atom
- Calculated density: 5.0 Mg/m³
- Space group: P2_1/c
- Size of the total moment: 10.002 Bohr magnetons per cell

---

[5]
Density functional theory data (PBEsol) for a relaxed structure of CaFeSi2O6.

Cell: 5.178 6.648 6.648 Å, 83.27 79.75 79.75°
Fractional coordinates of all 20 atoms:
Ca: 0.750 0.303 0.697
Ca: 0.250 0.697 0.303
Fe: 0.750 0.920 0.080
Fe: 0.250 0.080 0.920
Si: 0.232 0.614 0.808
Si: 0.732 0.808 0.614
Si: 0.768 0.386 0.192
Si: 0.268 0.192 0.386
O: 0.846 0.217 0.027
O: 0.346 0.027 0.217
O: 0.654 0.973 0.783
O: 0.154 0.783 0.973
O: 0.172 0.112 0.620
O: 0.328 0.380 0.888
O: 0.828 0.888 0.380
O: 0.672 0.620 0.112
O: 0.987 0.625 0.671
O: 0.487 0.671 0.625
O: 0.513 0.329 0.375
O: 0.013 0.375 0.329

- Uncorrected formation energy: -243.6 kJ per mole of atoms
- Raw total energy: -7.933 eV per atom
- Calculated density: 3.7 Mg/m³
- Space group: C2/c
- Size of the total moment: 8.000 Bohr magnetons per cell

---

[6]
Density functional theory data (PBEsol) for a relaxed structure of Ca4Zn3FeSi8O24.

Cell: 5.261 6.645 13.285 Å, 90.99 101.32 101.53°
Fractional coordinates of all 40 atoms:
Ca: 0.099 0.699 0.851
Ca: 0.601 0.702 0.350
Ca: 0.397 0.296 0.649
Ca: 0.900 0.300 0.149
Zn: 0.297 0.094 0.047
Zn: 0.702 0.906 0.953
Zn: 0.204 0.907 0.453
Fe: 0.798 0.096 0.548
Si: 0.865 0.620 0.597
Si: 0.367 0.621 0.096
Si: 0.039 0.192 0.811
Si: 0.542 0.194 0.310
Si: 0.632 0.379 0.904
Si: 0.136 0.381 0.403
Si: 0.457 0.805 0.690
Si: 0.961 0.808 0.190
O: 0.868 0.795 0.513
O: 0.369 0.795 0.013
O: 0.041 0.025 0.898
O: 0.544 0.028 0.397
O: 0.631 0.205 0.987
O: 0.136 0.207 0.486
O: 0.453 0.972 0.603
O: 0.959 0.975 0.103
O: 0.731 0.388 0.555
O: 0.231 0.389 0.055
O: 0.015 0.110 0.694
O: 0.521 0.109 0.194
O: 0.769 0.611 0.946
O: 0.272 0.613 0.444
O: 0.479 0.888 0.806
O: 0.982 0.891 0.306
O: 0.169 0.628 0.666
O: 0.673 0.630 0.166
O: 0.807 0.331 0.815
O: 0.311 0.333 0.314
O: 0.327 0.370 0.835
O: 0.830 0.371 0.334
O: 0.689 0.668 0.685
O: 0.192 0.669 0.185

- Uncorrected formation energy: -252.2 kJ per mole of atoms
- Raw total energy: -7.469 eV per atom
- Calculated density: 3.8 Mg/m³
- Space group: P1
- Size of the total moment: 4.000 Bohr magnetons per cell

---

Question: Number 2 is which compound?
Answer: Ca2FeReO6

---

Question: What is the formula in the fourth record?
Answer: Ca2FeSbO6